A plane-wave DFT calculation with PBE-GGA was carried out for a geometry-optimized GeAsNO2 structure.

a b c (Å): 3.7713 3.7713 3.8449
angles (deg): 90.00 90.00 90.00
Closest atoms and distances in Å follow each position.
Space group P4/mmm (No. 123)
Symmetry-distinct sites (fractional):
1 Ge 0.0000 0.0000 0.0000  4 N 2.67, 8 O 2.69
2 As 0.5000 0.5000 0.5000  4 O 1.89, 2 N 1.92
3 N 0.5000 0.5000 0.0000  2 As 1.92
4 O 0.0000 0.5000 0.5000  2 As 1.89

Values from the calculation:
The calculation puts the density of states at the Fermi level at 1.110 states/eV/f.u. The total magnetization is 0.00 μB per formula unit. Its uncorrected formation energy is -0.05 eV/atom. For the density, the calculation gives 5.88 g cm⁻³.